[1]
Mo3Rh (GGA-PBE, optimized geometry); density of states at the Fermi level = 3.78 states/eV/cell; ΔH_f (0 K) = 0.3 eV/f.u.; volume = 62 Å³/cell; magnetization = 0.00 μB per cell; calculated total energy = -9.8833 eV per atom
1.0
-0.8854 2.7860 -4.1626
-4.6745 -0.5031 -1.9412
2.4320 1.2884 4.2776
Mo Rh
3 1
Direct
0.0127 0.0127 0.0000
0.4873 0.4873 0.0000
0.2500 0.7500 0.5000
0.7500 0.2500 0.5000

[2]
Mo4Rh (GGA-PBE, optimized geometry); density of states at the Fermi level = 6.17 states/eV/cell; ΔH_f (0 K) = 0.4 eV/f.u.; volume = 78 Å³/cell; distance to the lowest polymorph of the same formula = 0.00 kcal/mol of atoms; magnetization = 0.00 μB per cell; calculated total energy = -10.0528 eV per atom
1.0
-3.4920 3.4920 1.6039
3.4920 -3.4920 1.6039
3.4920 3.4920 -1.6039
Mo Rh
4 1
Direct
0.1920 0.3909 0.5829
0.8080 0.6091 0.4171
0.6091 0.1920 0.8012
0.3909 0.8080 0.1988
0.0000 0.0000 0.0000

[3]
Mo2Rh (GGA-PBE, optimized geometry); density of states at the Fermi level = 3.51 states/eV/cell; ΔH_f (0 K) = 0.2 eV/f.u.; volume = 46 Å³/cell; magnetization = 0.00 μB per cell; calculated total energy = -9.6050 eV per atom
1.0
-0.3628 -4.8544 -0.5609
-3.5138 -2.5610 2.2596
1.1542 3.5973 -3.1207
Rh Mo
1 2
Direct
0.0000 0.0000 0.0000
0.6642 0.6642 0.0000
0.3358 0.3358 0.0000

[4]
Mo2Rh (GGA-PBE, optimized geometry); density of states at the Fermi level = 4.23 states/eV/cell; ΔH_f (0 K) = 0.5 eV/f.u.; volume = 94 Å³/cell; magnetization = 0.00 μB per cell; calculated total energy = -9.5045 eV per atom
1.0
-0.5215 10.9808 6.6774
-3.7841 11.3701 4.6732
1.1853 -12.0731 -4.2747
Rh Mo
2 4
Direct
0.0000 0.0000 0.0000
0.7500 0.2500 0.5000
0.1723 0.6723 0.5000
0.3277 0.8277 0.5000
0.4223 0.4223 0.0000
0.5777 0.5777 0.0000

[5]
MoRh3 (GGA-PBE, optimized geometry); density of states at the Fermi level = 9.87 states/eV/cell; ΔH_f (0 K) = 0.9 eV/f.u.; volume = 126 Å³/cell; magnetization = 0.00 μB per cell; calculated total energy = -7.9947 eV per atom
1.0
-3.1821 3.9330 1.5451
-4.2226 -2.7555 -1.5994
-0.3261 -1.8631 4.0706
Rh Mo
6 2
Direct
0.0842 0.5790 0.7500
0.9158 0.4210 0.2500
0.9179 0.0821 0.7500
0.4210 0.9158 0.7500
0.5790 0.0842 0.2500
0.0821 0.9179 0.2500
0.5875 0.4125 0.7500
0.4125 0.5875 0.2500

[6]
MoRh5 (GGA-PBE, optimized geometry); density of states at the Fermi level = 7.88 states/eV/cell; ΔH_f (0 K) = -0.4 eV/f.u.; volume = 87 Å³/cell; distance to the lowest polymorph of the same formula = 2.33 kcal/mol of atoms; magnetization = 0.00 μB per cell; calculated total energy = -7.9952 eV per atom
1.0
-6.0747 -9.6913 -1.6064
2.1756 -1.4876 0.7471
-0.8338 0.0903 2.6079
Rh Mo
5 1
Direct
0.1710 0.5000 0.5000
0.4957 0.5000 0.5000
0.9985 0.0000 0.0000
0.6682 0.0000 0.0000
0.3333 0.0000 0.0000
0.8333 0.5000 0.5000